12
Lattice="-0.1763 -4.5240 3.7634 3.4163 -1.0112 -4.6869 2.2395 4.6242 2.8743" Properties=species:S:1:pos:R:3 comment="MnV2CdO8 | Alexandria | GGA+U | relaxed" energy_ev_per_atom=-6.607 pbc="T T T"
Mn 0.0000 0.0000 0.0000
V 1.8416 -1.3337 3.0880
V 1.6200 -2.7676 -0.4617
Cd 3.6379 0.4227 -1.1371
O 0.9010 -0.4593 1.8957
O 2.1201 -1.1177 -0.6421
O 2.2257 2.1434 2.9161
O 1.7350 -0.4188 4.5788
O 2.5760 -3.7170 0.6289
O 1.2222 -2.9585 3.3051
O 3.5084 -1.4980 2.5724
O 4.0371 0.8694 0.9989